Entry 1:
First-principles (GGA-PBE) data for a geometry-optimized Ac2LaSm3Y6 structure, as listed in Alexandria via LeMat-Bulk.

Results
SG   C2/m
Crystal system   monoclinic
Formation energy   0.03 eV/atom

```
12
Lattice="3.196 -5.536 0.000 3.196 5.536 0.000 -2.127 0.000 11.788" Properties=species:S:1:pos:R:3 pbc="T T T"
Ac 3.196 3.691 0.000
Ac 3.196 -3.691 0.000
La 3.196 0.000 0.000
Sm -1.064 0.000 5.894
Sm 2.133 1.845 5.894
Sm 2.133 -1.845 5.894
Y 0.006 1.838 8.770
Y 1.077 0.000 3.017
Y 0.006 -1.838 8.770
Y 4.260 1.838 3.018
Y 3.189 0.000 8.771
Y 4.260 -1.838 3.018
```

Entry 2:
First-principles (GGA-PBE) data for a geometry-optimized AcLa3Sm2Y6 structure, as listed in Alexandria via LeMat-Bulk.

Results
SG   C2/m
Crystal system   monoclinic
Formation energy   0.02 eV/atom

```
12
Lattice="3.177 -5.503 0.000 3.177 5.503 0.000 -2.117 0.000 11.797" Properties=species:S:1:pos:R:3 pbc="T T T"
Ac 0.000 0.000 0.000
La 2.118 3.664 5.899
La 2.118 0.000 5.899
La 2.118 -3.664 5.899
Sm 3.177 1.836 0.000
Sm 3.177 -1.836 0.000
Y 1.069 1.850 2.950
Y 0.017 0.000 8.848
Y 1.069 -1.850 2.950
Y 3.168 1.850 8.847
Y 4.220 0.000 2.949
Y 3.168 -1.850 8.847
```

Entry 3:
First-principles (GGA-PBE) data for a geometry-optimized Ac2LaSmY structure, as listed in Alexandria via LeMat-Bulk.

Results
SG   P2/c
Crystal system   monoclinic
Formation energy   0.26 eV/atom

```
10
Lattice="9.060 0.000 0.000 0.000 6.772 0.000 -0.012 0.000 6.507" Properties=species:S:1:pos:R:3 pbc="T T T"
Ac 1.818 1.413 1.632
Ac 1.812 5.359 4.886
Ac 7.237 1.413 1.621
Ac 7.231 5.359 4.874
La 4.521 0.512 4.880
La 4.527 6.260 1.627
Sm 4.530 3.386 0.000
Sm 4.524 3.386 3.253
Y -0.009 2.166 4.880
Y -0.003 4.605 1.627
```

Entry 4:
First-principles (GGA-PBE) data for a geometry-optimized Ac2LaSmY5 structure, as listed in Alexandria via LeMat-Bulk.

Results
SG   Cmc2_1
Crystal system   orthorhombic
Formation energy   0.16 eV/atom

```
18
Lattice="2.920 -10.120 0.000 2.920 10.120 0.000 0.000 0.000 11.046" Properties=species:S:1:pos:R:3 pbc="T T T"
Ac 2.920 7.840 5.523
Ac 2.920 7.768 0.994
Ac 2.920 -7.768 6.517
Ac 2.920 -7.840 0.000
La 2.920 1.643 2.553
La 2.920 -1.643 8.076
Sm 2.920 5.942 8.615
Sm 2.920 -5.942 3.092
Y 2.920 9.746 8.809
Y 2.920 4.344 0.852
Y 2.920 4.104 5.272
Y 2.920 2.198 8.745
Y 2.920 0.379 5.609
Y 2.920 -0.379 0.086
Y 2.920 -2.198 3.222
Y 2.920 -4.104 10.795
Y 2.920 -4.344 6.376
Y 2.920 -9.746 3.286
```